No. 1
The following is a PBE calculation of an optimized crystal structure of Ac3Mg2Sn4, from Alexandria.

Properties
* symmetry: No. 12
* calculated total energy: -0.1506 hartree per atom

abc: 4.7855 6.9019 9.7652
angles: 110.25 90.00 110.28
Atoms (fractional coordinates):
Ac  0.6203  0.2406  0.6891
Ac  0.0000  0.0000  0.0000
Ac  0.3797  0.7594  0.3109
Mg  0.6904  0.3807  0.3553
Mg  0.3096  0.6193  0.6447
Sn  0.7127  0.4254  0.0654
Sn  0.2873  0.5746  0.9346
Sn  0.9130  0.8259  0.6070
Sn  0.0870  0.1741  0.3930

No. 2
The following is a PBE calculation of an optimized crystal structure of AcMgSn3, from Alexandria.

Properties
* symmetry: No. 12
* calculated total energy: -0.1430 hartree per atom

abc: 6.5713 6.7059 7.4451
angles: 116.77 89.96 90.00
Atoms (fractional coordinates):
Ac  0.2499  0.3683  0.7366
Ac  0.7501  0.6317  0.2634
Mg  0.0000  0.0000  0.0000
Mg  0.5000  0.0000  0.0000
Sn  0.7501  0.6075  0.7573
Sn  0.7501  0.1498  0.7573
Sn  0.2511  0.8110  0.6221
Sn  0.7489  0.1890  0.3779
Sn  0.2499  0.8502  0.2427
Sn  0.2499  0.3925  0.2427

No. 3
The following is a PBE calculation of an optimized crystal structure of AcMgSn6, from Alexandria.

Properties
* symmetry: No. 38
* calculated total energy: -0.1449 hartree per atom
* ΔE to the lowest computed polymorph: 21 meV per atom

abc: 5.3212 7.0625 7.0625
angles: 119.83 90.00 90.00
Atoms (fractional coordinates):
Ac  0.5000  0.4158  0.5842
Mg  0.0000  0.0860  0.9140
Sn  0.0000  0.0403  0.3941
Sn  0.0000  0.6059  0.9597
Sn  0.0000  0.6043  0.3957
Sn  0.5000  0.3865  0.0697
Sn  0.5000  0.9303  0.6135
Sn  0.5000  0.9306  0.0694

No. 4
The following is a PBE calculation of an optimized crystal structure of Ac3MgSn3, from Alexandria.

Properties
* symmetry: No. 176
* calculated total energy: -0.1518 hartree per atom
* ΔE to the lowest computed polymorph: 222 meV per atom

abc: 6.7544 9.9189 9.9189
angles: 120.00 90.00 90.00
Atoms (fractional coordinates):
Ac  0.7500  0.6977  0.6459
Ac  0.7500  0.3541  0.0517
Ac  0.7500  0.9483  0.3023
Ac  0.2500  0.3023  0.3541
Ac  0.2500  0.6459  0.9483
Ac  0.2500  0.0517  0.6977
Mg  0.2500  0.6667  0.3333
Mg  0.7500  0.3333  0.6667
Sn  0.2500  0.6825  0.6322
Sn  0.2500  0.3678  0.0504
Sn  0.2500  0.9496  0.3175
Sn  0.7500  0.3175  0.3678
Sn  0.7500  0.6322  0.9496
Sn  0.7500  0.0504  0.6825

No. 5
The following is a PBE calculation of an optimized crystal structure of AcMg5Sn3, from Alexandria.

Properties
* symmetry: No. 63
* calculated total energy: -0.1086 hartree per atom

abc: 4.7561 8.2608 13.2676
angles: 90.00 90.00 106.73
Atoms (fractional coordinates):
Ac  0.8774  0.7547  0.7500
Ac  0.1226  0.2453  0.2500
Mg  0.8070  0.6141  0.4434
Mg  0.1930  0.3859  0.9434
Mg  0.0000  0.0000  0.5000
Mg  0.0000  0.0000  0.0000
Mg  0.4487  0.8974  0.1386
Mg  0.5513  0.1026  0.8614
Mg  0.5513  0.1026  0.6386
Mg  0.8070  0.6141  0.0566
Mg  0.1930  0.3859  0.5566
Mg  0.4487  0.8974  0.3614
Sn  0.3751  0.7502  0.9382
Sn  0.8993  0.7986  0.2500
Sn  0.3751  0.7502  0.5618
Sn  0.6249  0.2498  0.4382
Sn  0.1007  0.2014  0.7500
Sn  0.6249  0.2498  0.0618

No. 6
The following is a PBE calculation of an optimized crystal structure of Ac7MgSn5, from Alexandria.

Properties
* symmetry: No. 44
* calculated total energy: -0.1571 hartree per atom

abc: 6.8943 8.9936 8.9936
angles: 81.02 67.46 67.46
Atoms (fractional coordinates):
Ac  0.6398  0.3602  0.3602
Ac  0.2742  0.7258  0.7258
Ac  0.0038  0.3243  0.6680
Ac  0.0038  0.6680  0.3243
Ac  0.2777  0.2223  0.2223
Ac  0.5208  0.8095  0.1489
Ac  0.5208  0.1489  0.8095
Mg  0.9530  0.0470  0.0470
Sn  0.5244  0.9965  0.4820
Sn  0.9970  0.9965  0.4820
Sn  0.5244  0.4820  0.9965
Sn  0.9970  0.4820  0.9965
Sn  0.7632  0.7368  0.7368

No. 7
The following is a PBE calculation of an optimized crystal structure of Ac2MgSn3, from Alexandria.

Properties
* symmetry: No. 69
* calculated total energy: -0.1530 hartree per atom

abc: 6.7159 6.7159 9.5622
angles: 108.12 108.12 96.58
Atoms (fractional coordinates):
Ac  0.2500  0.7500  0.5000
Ac  0.7624  0.7624  0.0000
Ac  0.7500  0.2500  0.5000
Ac  0.2376  0.2376  0.0000
Mg  0.3336  0.3336  0.6672
Mg  0.6664  0.6664  0.3328
Sn  0.6524  0.1781  0.8305
Sn  0.8219  0.3476  0.1695
Sn  0.3476  0.8219  0.1695
Sn  0.1781  0.6524  0.8305
Sn  0.8311  0.8311  0.6622
Sn  0.1689  0.1689  0.3378

No. 8
The following is a PBE calculation of an optimized crystal structure of Ac2Mg2Sn3, from Alexandria.

Properties
* symmetry: No. 63
* calculated total energy: -0.1418 hartree per atom

abc: 4.9716 7.7894 11.0706
angles: 90.00 102.98 90.00
Atoms (fractional coordinates):
Ac  0.1522  0.2500  0.3044
Ac  0.8478  0.7500  0.6956
Ac  0.9554  0.2500  0.9108
Ac  0.0446  0.7500  0.0892
Mg  0.6941  0.9477  0.3882
Mg  0.3059  0.0523  0.6118
Mg  0.3059  0.4477  0.6118
Mg  0.6941  0.5523  0.3882
Sn  0.2152  0.7500  0.4305
Sn  0.7847  0.2500  0.5695
Sn  0.5661  0.4424  0.1322
Sn  0.4339  0.5576  0.8678
Sn  0.4339  0.9424  0.8678
Sn  0.5661  0.0576  0.1322

No. 9
The following is a PBE calculation of an optimized crystal structure of Ac3Mg4Sn4, from Alexandria.

Properties
* symmetry: No. 71
* calculated total energy: -0.1345 hartree per atom

abc: 4.8345 4.6582 14.9279
angles: 98.98 99.32 90.00
Atoms (fractional coordinates):
Ac  0.3571  0.8571  0.7142
Ac  0.6429  0.1429  0.2858
Ac  0.0000  0.0000  0.0000
Mg  0.2507  0.2507  0.5014
Mg  0.0945  0.5945  0.1890
Mg  0.9055  0.4055  0.8110
Mg  0.7493  0.7493  0.4986
Sn  0.8098  0.3098  0.6197
Sn  0.4509  0.4509  0.9017
Sn  0.5491  0.5491  0.0983
Sn  0.1902  0.6902  0.3803

No. 10
The following is a PBE calculation of an optimized crystal structure of Ac2MgSn2, from Alexandria.

Properties
* symmetry: No. 127
* calculated total energy: -0.1541 hartree per atom
* ΔE to the lowest computed polymorph: 0 meV per atom

abc: 8.1493 8.1493 9.9556
angles: 90.00 90.00 90.00
Atoms (fractional coordinates):
Ac  0.6761  0.8240  0.5000
Ac  0.3239  0.1760  0.5000
Ac  0.8239  0.3240  0.0000
Ac  0.1761  0.6760  0.0000
Ac  0.8240  0.3239  0.5000
Ac  0.1760  0.6761  0.5000
Ac  0.3240  0.1761  0.0000
Ac  0.6760  0.8239  0.0000
Mg  0.5000  0.5000  0.2501
Mg  0.0000  0.0000  0.7501
Mg  0.5000  0.5000  0.7499
Mg  0.0000  0.0000  0.2499
Sn  0.3727  0.8727  0.2500
Sn  0.6273  0.1273  0.2500
Sn  0.1273  0.3727  0.7500
Sn  0.8727  0.6273  0.7500
Sn  0.8727  0.6273  0.2500
Sn  0.1273  0.3727  0.2500
Sn  0.3727  0.8727  0.7500
Sn  0.6273  0.1273  0.7500

No. 11
The following is a PBE calculation of an optimized crystal structure of Ac2MgSn2, from Alexandria.

Properties
* symmetry: No. 72
* calculated total energy: -0.1513 hartree per atom
* ΔE to the lowest computed polymorph: 75 meV per atom

abc: 6.9203 7.1904 8.6181
angles: 114.66 113.67 90.00
Atoms (fractional coordinates):
Ac  0.8599  0.6582  0.7198
Ac  0.1401  0.3418  0.2802
Ac  0.6401  0.9384  0.2802
Ac  0.3599  0.0616  0.7198
Mg  0.7500  0.5000  0.0000
Mg  0.2500  0.5000  0.0000
Sn  0.3819  0.6125  0.7637
Sn  0.6181  0.3875  0.2363
Sn  0.1181  0.8488  0.2363
Sn  0.8819  0.1512  0.7637

No. 12
The following is a PBE calculation of an optimized crystal structure of SrAcMgSn, from Alexandria.

Properties
* symmetry: No. 216
* calculated total energy: -0.1179 hartree per atom

abc: 5.7727 5.7727 5.7727
angles: 60.00 60.00 60.00
Atoms (fractional coordinates):
Mg  0.7500  0.7500  0.7500
Sr  0.5000  0.5000  0.5000
Ac  0.0000  0.0000  0.0000
Sn  0.2500  0.2500  0.2500

calculated total energy of number 12 (SrAcMgSn)?
-0.1179 hartree per atom

Which value of calculated total energy does entry 5 give?
-0.1086 hartree per atom

Look up the calculated total energy of the fifth one.
-0.1086 hartree per atom